(1)
## CsSc2BeHg (PBE)

Data for a relaxed CsSc2BeHg crystal.

```
CsSc2BeHg
1.0
5.3725 0.0000 0.0000
0.0000 5.3725 0.0000
0.0000 0.0000 5.8640
Cs Sc Be Hg
1 2 1 1
Cartesian
0.0000 0.0000 0.0000
0.0000 2.6863 0.0000
2.6863 0.0000 0.0000
2.6863 2.6863 2.9320
0.0000 0.0000 2.9320
```

Values from the calculation:
formation energy	1896	meV/atom



(2)
## CoSbRu3 (PBE)

Data for a relaxed CoSbRu3 crystal.

```
CoSbRu3
1.0
4.4542 0.0000 0.0000
0.0000 4.4542 0.0000
0.0000 0.0000 4.4542
Co Sb Ru
1 1 3
Cartesian
0.0000 0.0000 0.0000
2.2271 2.2271 2.2271
0.0000 0.0000 2.2271
0.0000 2.2271 0.0000
2.2271 0.0000 0.0000
```

Values from the calculation:
uncorrected formation energy	1.15	eV/atom
E above lowest polymorph	0	meV/atom



(3)
## Rb3CaPm2O6 (PBE)

Data for a relaxed Rb3CaPm2O6 crystal.

```
Rb3CaPm2O6
1.0
3.1402 -5.4411 0.0000
3.1402 5.4411 0.0000
-2.0867 0.0000 6.5717
Rb Ca Pm O
3 1 2 6
Cartesian
0.0000 0.0000 0.0000
3.1402 1.7734 0.0000
3.1402 -1.7734 0.0000
2.0969 0.0000 3.2859
2.0969 3.6270 3.2859
2.0969 -3.6270 3.2859
1.0228 1.8605 2.0806
-0.0449 0.0000 4.4784
1.0228 -1.8605 2.0806
3.1709 1.8605 4.4911
4.2387 0.0000 2.0933
3.1709 -1.8605 4.4911
```

Values from the calculation:
uncorrected formation energy	-2.32	eV/atom



(4)
## Pm4Sm2Tm (PBE)

Data for a relaxed Pm4Sm2Tm crystal.

```
Pm4Sm2Tm
1.0
1.7349 -13.1994 0.0000
1.7349 13.1994 0.0000
0.0000 0.0000 5.7476
Pm Sm Tm
4 2 1
Cartesian
1.7349 11.2357 0.0000
1.7349 3.1254 2.8738
1.7349 -3.1254 2.8738
1.7349 -11.2357 0.0000
1.7349 5.0799 0.0000
1.7349 -5.0799 0.0000
0.0000 0.0000 2.8738
```

Values from the calculation:
E above lowest polymorph	191	meV/atom
formation energy	344	meV/atom



(5)
## Li2La2CdPd5 (PBE)

Data for a relaxed Li2La2CdPd5 crystal.

```
Li2La2CdPd5
1.0
9.7153 0.0000 0.0000
0.0000 9.7153 0.0000
0.0000 0.0000 3.8799
Li La Cd Pd
4 4 2 10
Cartesian
1.1413 3.7163 0.0000
3.7163 8.5740 0.0000
5.9990 1.1413 0.0000
8.5740 5.9990 0.0000
1.7563 6.6140 0.0000
3.1014 1.7563 0.0000
6.6140 7.9590 0.0000
7.9590 3.1014 0.0000
0.0000 0.0000 0.0000
4.8577 4.8577 0.0000
0.0000 4.8577 1.9400
0.6528 2.0530 1.9400
2.0530 9.0625 1.9400
2.8047 4.2048 1.9400
4.2048 6.9107 1.9400
4.8577 0.0000 1.9400
5.5105 2.8047 1.9400
6.9107 5.5105 1.9400
7.6623 0.6528 1.9400
9.0625 7.6623 1.9400
```

Values from the calculation:
formation energy	-617	meV/atom



(6)
## Li4Fe (PBE)

Data for a relaxed Li4Fe crystal.

```
Li4Fe
1.0
-1.7469 1.7469 6.7719
1.7469 -1.7469 6.7719
1.7469 1.7469 -6.7719
Li Fe
4 1
Cartesian
0.0000 0.0000 1.2412
1.7469 0.0000 3.3860
0.0000 1.7469 3.3860
0.0000 0.0000 12.3027
0.0000 0.0000 6.7719
```

Values from the calculation:
E above lowest polymorph	0	meV/atom
formation energy	496	meV/atom



| no. | total moment (μB/f.u.) | electronic total energy (eV for the cell shown) |
| --- | --- | --- |
| 1 | 0.00 | -8.06 |
| 2 | 3.47 | -33.31 |
| 3 | 1.15 | -71.95 |
| 4 | 0.00 | -30.50 |
| 5 | 0.00 | -93.47 |
| 6 | 2.70 | -13.64 |